Record 1
Compound: CuBSe
Source: Alexandria via LeMat-Bulk
Functional: GGA-PBE
Structure: optimized geometry

a = 10.625 Å, b = 3.247 Å, c = 5.733 Å
α = 90.00°, β = 117.20°, γ = 90.00°
Space group C2/m (No. 12)
Inequivalent atoms, fractional coordinates:
Cu1 0.158 0.000 0.439 x4
B1 0.202 0.500 0.741 x4
Se1 0.109 0.000 0.847 x4

Results
E_tot: -13.09 eV/f.u.
Fermi-level density of states: 0.271 states/eV/atom
crystal system: monoclinic
total magnetization: 0.00 μB per formula unit

---

Record 2
Compound: RbTmP2Se8
Source: Alexandria via LeMat-Bulk
Functional: GGA-PBE
Structure: optimized geometry

a = 6.4772 Å, b = 6.4772 Å, c = 29.2741 Å
α = 90.00°, β = 90.00°, γ = 120.00°
Space group R-3 (No. 148, hexagonal axes)
Inequivalent atoms, fractional coordinates:
Rb1 0.0000 0.0000 0.0000 x3
Tm1 0.0000 0.0000 0.5000 x3
P1 0.0000 0.0000 0.2428 x6
Se1 0.0000 0.0000 0.3179 x6
Se2 0.0190 0.3746 0.5553 x18

Results
E_tot: -49.78 eV/f.u.
Fermi-level density of states: 0.944 states/eV/atom
crystal system: trigonal
total magnetization: 1.74 μB per formula unit

---

Record 3
Compound: CaPmNd6Sm2
Source: Alexandria via LeMat-Bulk
Functional: GGA-PBE
Structure: optimized geometry

a = 9.266 Å, b = 15.633 Å, c = 9.991 Å
α = 90.00°, β = 98.58°, γ = 90.00°
Space group C2/c (No. 15)
Inequivalent atoms, fractional coordinates:
Ca1 0.000 0.098 0.250 x4
Pm1 0.000 0.476 0.750 x4
Nd1 0.062 0.322 0.448 x8
Nd2 0.105 0.107 0.622 x8
Nd3 0.200 0.272 0.823 x8
Sm1 0.250 0.050 0.957 x8

Results
energy relative to the elements: 0.125 eV/atom
Fermi-level density of states: 1.509 states/eV/atom
crystal system: monoclinic
total magnetization: 0.00 μB per formula unit

---

- total magnetization of number 3 (CaPmNd6Sm2)?
  0.00 μB per formula unit

---

- Number 2 is which compound?
  RbTmP2Se8